(1)
Computed, not measured: YHo5Er8 after structural relaxation at the PBE level of DFT.

Space group   I-4, No. 82
Spin magnetization   0.0 μB/f.u.
Crystal system   tetragonal
Energy relative to the elements   0.253 eV/atom

The structure in extended XYZ format:
```
14
Lattice="7.9642 0.0001 -2.5398 -4.0677 6.6982 -2.9089 0.1712 -0.0001 8.3576" Properties=species:S:1:pos:R:3 pbc="T T T"
Ho 3.8373 4.5336 1.9297
Ho 4.0677 0.0000 2.9089
Ho 3.2531 6.0359 -3.2476
Ho -1.0011 2.1646 0.0984
Ho 2.0462 0.6623 7.0372
Er 1.7343 1.7485 1.9105
Er 0.9992 6.1530 2.8641
Er -2.3164 5.0029 1.5944
Er 4.8277 1.6954 0.2014
Er 3.8597 2.6442 4.8445
Er 1.7645 4.0540 -0.8226
Er -1.6991 4.9497 -1.8854
Er 7.1011 0.5452 2.9285
Y 0.0856 3.3491 4.1788
```


(2)
Computed, not measured: YHo5Er after structural relaxation at the PBE level of DFT.

Space group   C2/c, No. 15
Energy above the lowest structure with this stoichiometry   0.00 kcal/mol of atoms
Spin magnetization   0.0 μB/f.u.
Crystal system   monoclinic
Energy relative to the elements   0.113 eV/atom

The structure in extended XYZ format:
```
14
Lattice="4.7891 4.2549 0.8280 -4.7891 4.2549 0.8280 0.0000 2.6995 11.4088" Properties=species:S:1:pos:R:3 pbc="T T T"
Ho 1.4172 6.4955 6.3242
Ho -3.2143 4.9298 3.6801
Ho 1.7000 8.9854 10.8194
Ho 3.2143 6.2796 9.3845
Ho -1.4172 7.8453 12.0286
Ho -1.7000 7.6356 5.1150
Ho -1.7000 2.2240 2.2452
Ho 1.7000 3.5738 7.9496
Ho -1.4172 4.7139 6.7405
Ho 1.4172 3.3641 1.0361
Y 0.0000 0.0000 0.0000
Y 0.0000 1.3498 5.7044
Er -0.0944 6.2796 9.3845
Er 0.0944 4.9298 3.6801
```


(3)
Computed, not measured: Y2Ho8Er after structural relaxation at the PBE level of DFT.

Space group   C2/m, No. 12
Energy above the lowest structure with this stoichiometry   0.29 kcal/mol of atoms
Spin magnetization   0.0 μB/f.u.
Crystal system   monoclinic
Energy relative to the elements   0.172 eV/atom

The structure in extended XYZ format:
```
11
Lattice="5.9633 1.0373 2.6273 1.7363 8.2030 5.6541 0.8960 2.9966 9.6172" Properties=species:S:1:pos:R:3 pbc="T T T"
Ho 3.0971 8.0565 8.6253
Ho 2.7158 4.8922 7.0029
Ho 5.4985 4.1804 9.2732
Ho 2.6969 5.5764 10.5131
Ho 5.5742 3.6004 5.9119
Ho 5.8798 7.3447 10.8956
Ho 5.8988 6.6605 7.3855
Ho 3.0214 8.6365 11.9866
Y 5.6622 9.5729 13.7768
Y 2.9335 2.6640 4.1218
Er 0.0000 0.0000 0.0000
```


(4)
Computed, not measured: Y5Ho2Er3 after structural relaxation at the PBE level of DFT.

Space group   C2/c, No. 15
Energy above the lowest structure with this stoichiometry   0.00 kcal/mol of atoms
Spin magnetization   0.0 μB/f.u.
Crystal system   monoclinic
Energy relative to the elements   0.193 eV/atom

The structure in extended XYZ format:
```
20
Lattice="8.3808 1.5678 -3.9016 0.2624 8.4911 -3.9778 -1.7274 -1.9123 10.7647" Properties=species:S:1:pos:R:3 pbc="T T T"
Ho 5.2388 -0.0125 5.0477
Ho 4.0127 2.6021 -0.5121
Ho 2.9031 5.5445 3.3975
Ho 1.6770 8.1591 -2.1623
Y 4.9333 7.8109 -3.3815
Y 2.3825 4.8250 -2.5536
Y 0.6774 2.8555 0.4994
Y 3.4172 6.0684 0.1687
Y 7.4824 2.6139 0.2225
Y -0.5666 5.5327 2.6629
Y 4.5333 3.3216 5.4390
Y 1.9825 0.3357 6.2668
Y 3.4985 2.0782 2.7167
Y 6.2383 5.2911 2.3859
Er 1.1433 3.4971 4.9990
Er -0.0814 6.1134 -0.5571
Er 0.4753 6.7846 5.4041
Er 6.4405 1.3620 -2.5187
Er 5.7725 4.6495 -2.1136
Er 6.9972 2.0332 3.4425
```


(5)
Computed, not measured: Y2Ho6Er3 after structural relaxation at the PBE level of DFT.

Space group   I4/mmm, No. 139
Energy above the lowest structure with this stoichiometry   6.24 kcal/mol of atoms
Spin magnetization   0.0 μB/f.u.
Crystal system   tetragonal
Energy relative to the elements   0.294 eV/atom

The structure in extended XYZ format:
```
11
Lattice="-1.7182 -1.4995 -4.0907 -4.0698 -1.0171 2.0823 -2.6111 16.5466 -2.2878" Properties=species:S:1:pos:R:3 pbc="T T T"
Ho -5.0150 10.7916 -4.5305
Ho -6.1908 11.0327 -1.4440
Ho -3.3842 3.2384 0.2343
Ho -2.2083 2.9972 -2.8521
Ho -3.3348 9.2610 -1.9941
Ho -5.0644 4.7690 -2.3020
Er -2.2035 6.1194 -1.3177
Er -6.1956 7.9106 -2.9785
Er 0.0000 0.0000 0.0000
Y -3.4035 0.1565 -1.3088
Y -4.9957 13.8735 -2.9873
```


(6)
Computed, not measured: Y2Ho12Er5 after structural relaxation at the PBE level of DFT.

Space group   P-1, No. 2
Energy above the lowest structure with this stoichiometry   0.00 kcal/mol of atoms
Spin magnetization   0.0 μB/f.u.
Crystal system   triclinic
Energy relative to the elements   0.023 eV/atom

The structure in extended XYZ format:
```
19
Lattice="-2.0498 -5.0567 -2.7413 -0.2974 7.1914 -8.4905 9.5216 -6.5677 7.2249" Properties=species:S:1:pos:R:3 pbc="T T T"
Y -1.5381 2.9102 -9.8676
Y 8.7125 -7.3432 5.8607
Ho 3.5821 -3.0832 -4.9271
Ho 3.1479 -4.8457 0.8975
Ho 3.5924 -1.3498 0.9202
Ho 2.4241 0.5996 -1.7743
Ho 4.0265 0.4127 -4.9044
Ho -0.3649 0.9656 -7.1722
Ho 6.3658 -3.4674 0.4848
Ho 0.8086 -0.9656 -4.4917
Ho 0.0766 4.4620 -7.1428
Ho 7.5393 -5.3986 3.1654
Ho 7.0979 -8.8950 3.1359
Ho 4.7504 -5.0326 -2.2325
Er 5.9300 -6.9618 0.4536
Er 5.1871 -1.5306 -2.2133
Er 1.9873 -2.9024 -1.7935
Er 1.2445 2.5288 -4.4605
Er 4.7608 -3.2839 3.6125
```


(7)
Computed, not measured: Y6HoEr4 after structural relaxation at the PBE level of DFT.

Space group   P1, No. 1
Energy above the lowest structure with this stoichiometry   0.00 kcal/mol of atoms
Spin magnetization   0.0 μB/f.u.
Crystal system   triclinic
Energy relative to the elements   0.026 eV/atom

The structure in extended XYZ format:
```
11
Lattice="-4.6929 -1.3784 -3.7046 3.2516 3.6035 -3.7655 2.1098 -10.9178 1.3965" Properties=species:S:1:pos:R:3 pbc="T T T"
Y 0.4137 -2.6180 -3.2246
Y -1.7117 -0.5150 -1.3518
Y 2.6766 -8.7547 -0.4303
Y -0.7342 -8.3649 -1.3557
Y 1.5441 -5.6848 -1.8247
Y -1.8661 -5.2956 -2.7504
Ho -0.7254 0.4251 -4.6404
Er 0.2521 -7.4424 -4.6304
Er -2.9951 -2.2556 -4.1416
Er 2.6792 0.0456 -3.7032
Er -0.8833 -4.3816 -6.0192
```


(8)
Computed, not measured: Y2Ho5Er12 after structural relaxation at the PBE level of DFT.

Space group   C2/m, No. 12
Energy above the lowest structure with this stoichiometry   3.70 kcal/mol of atoms
Spin magnetization   0.0 μB/f.u.
Crystal system   monoclinic
Energy relative to the elements   0.184 eV/atom

The structure in extended XYZ format:
```
19
Lattice="-6.8140 0.4474 -1.0548 4.8158 0.5107 -8.2615 -2.7188 -10.8363 12.9668" Properties=species:S:1:pos:R:3 pbc="T T T"
Er 2.1936 -1.0736 -3.1068
Er -5.9871 -4.5144 2.9531
Er -3.4424 -9.0323 7.2942
Er -2.0952 -5.1429 0.1765
Er -1.2746 -0.8459 -3.6437
Er -6.9106 -8.8046 6.7573
Er -4.7559 -6.7938 5.2097
Er 0.0389 -3.0844 -1.5592
Er -2.6218 -4.7353 3.4740
Er 1.2701 -5.3638 0.6974
Er -0.4902 -2.1907 2.2375
Er -4.2268 -7.6875 1.4130
Ho 0.8914 -1.2206 -6.2762
Ho -5.6085 -8.6576 9.9267
Ho -3.4721 -2.2253 -1.1458
Ho -1.2450 -7.6529 4.7963
Ho -1.3594 -5.4182 6.4834
Y -5.2084 0.3420 -0.8063
Y -1.6055 0.1054 -0.2485
```


(9)
Computed, not measured: YHo6Er6 after structural relaxation at the PBE level of DFT.

Space group   Cmmm, No. 65
Spin magnetization   0.0 μB/f.u.
Crystal system   orthorhombic
Energy relative to the elements   0.226 eV/atom

The structure in extended XYZ format:
```
13
Lattice="-4.7272 3.5241 2.7687 -0.4503 -6.4451 0.8302 5.9446 0.7663 9.1742" Properties=species:S:1:pos:R:3 pbc="T T T"
Ho -0.7901 -1.2286 4.5753
Ho 2.2430 2.3559 8.4935
Ho 1.1129 -3.0501 2.4801
Ho 1.5571 -0.9260 8.1977
Ho -1.0255 1.9346 3.4493
Ho 4.3814 -2.6287 7.5243
Y 0.0000 0.0000 0.0000
Er -3.2075 -0.0183 2.0799
Er -1.9701 -2.9027 1.5190
Er 1.9921 0.2568 3.0743
Er 3.9525 0.5095 6.0998
Er 1.3995 -3.4455 5.9260
Er -0.6324 1.2908 6.8470
```


(10)
Computed, not measured: Y12Ho2Er5 after structural relaxation at the PBE level of DFT.

Space group   P-1, No. 2
Energy above the lowest structure with this stoichiometry   0.00 kcal/mol of atoms
Spin magnetization   0.0 μB/f.u.
Crystal system   triclinic
Energy relative to the elements   0.089 eV/atom

The structure in extended XYZ format:
```
19
Lattice="-0.1576 3.5413 5.6985 -7.5593 -8.4200 2.5510 11.2834 0.9484 0.2713" Properties=species:S:1:pos:R:3 pbc="T T T"
Y 5.5575 -1.6203 5.4824
Y -5.4993 -6.7050 2.8983
Y -2.7141 -1.5686 6.2208
Y 3.5243 1.0569 6.0143
Y 9.0658 2.7747 5.6226
Y 0.0421 -4.9872 2.5066
Y 6.2805 -2.3617 2.3000
Y 9.8381 1.8521 2.2507
Y -1.9910 -2.3100 3.0385
Y -6.2716 -5.7824 6.2701
Y 0.0561 -3.8833 5.6424
Y 3.5103 -0.0470 2.8785
Ho 2.7607 -2.3353 7.0831
Ho 0.8057 -1.5950 1.4378
Er 6.6459 1.0869 3.7528
Er 5.6417 0.4742 0.1357
Er 0.5640 -0.6146 4.8028
Er -3.0795 -5.0172 4.7680
Er 3.0025 -3.3157 3.7181
```


(11)
Computed, not measured: Y2Ho4Er3 after structural relaxation at the PBE level of DFT.

Space group   C2/c, No. 15
Spin magnetization   0.0 μB/f.u.
Crystal system   monoclinic
Energy relative to the elements   0.101 eV/atom

The structure in extended XYZ format:
```
18
Lattice="5.7620 1.6439 1.1770 2.3526 10.8994 0.7241 2.3526 4.1974 10.0848" Properties=species:S:1:pos:R:3 pbc="T T T"
Y 3.3668 8.5566 8.1291
Y 7.1005 8.1841 3.8568
Y 4.2195 5.4662 5.9164
Y 6.2478 11.2745 6.0695
Ho 4.7041 6.2380 2.4307
Ho 8.6442 13.2516 7.4522
Ho 1.8230 3.4890 4.5336
Ho 7.8761 7.3572 10.3416
Ho 5.4722 5.4020 8.9417
Ho 5.7632 10.5027 9.5552
Ho 2.5912 9.3834 1.6443
Ho 4.9951 11.3387 3.0442
Er 6.6741 8.1219 7.2082
Er 2.2387 3.5654 1.1988
Er 8.2286 13.1752 10.7871
Er 5.1197 3.1056 3.5775
Er 5.3475 13.6350 8.4084
Er 3.7931 8.6188 4.7777
```


(12)
Computed, not measured: Y5HoEr5 after structural relaxation at the PBE level of DFT.

Space group   P-1, No. 2
Energy above the lowest structure with this stoichiometry   0.00 kcal/mol of atoms
Spin magnetization   0.0 μB/f.u.
Crystal system   triclinic
Energy relative to the elements   0.154 eV/atom

The structure in extended XYZ format:
```
11
Lattice="-5.5873 1.4346 -3.6521 -0.6363 -6.0105 7.2735 -4.3520 6.5040 0.7521" Properties=species:S:1:pos:R:3 pbc="T T T"
Y -7.6545 1.7245 2.3444
Y -2.7936 0.7173 -1.8260
Y -2.9210 0.2036 2.0291
Y -5.7649 -1.6630 1.6576
Y -4.8107 3.5911 2.7160
Er -5.2375 0.3501 4.4979
Er -2.1760 3.2520 0.3760
Er -3.4063 -2.3834 4.1678
Er -7.1693 4.3114 0.2057
Er -5.3381 1.5779 -0.1243
Ho 0.0000 0.0000 0.0000
```